Tb2SeO2: PBEsol geometry, meta-GGA SCAN.

* formation energy from raw total energies: -3433 meV per atom

CIF file:
```
data_Tb2SeO2
_chemical_formula_sum 'Tb2 Se1 O2'
_cell_length_a 3.8174
_cell_length_b 3.8174
_cell_length_c 6.7715
_cell_angle_alpha 90.00
_cell_angle_beta 90.00
_cell_angle_gamma 120.00
_symmetry_space_group_name_H-M 'P -3 m 1'
_symmetry_Int_Tables_number 164
_symmetry_space_group_name_Hall '-P 3 2"'
loop_
_atom_site_label
_atom_site_fract_x
_atom_site_fract_y
_atom_site_fract_z
Tb1 0.3333 0.6667 0.2902
Se1 0.0000 0.0000 0.0000
O1 0.3333 0.6667 0.6258
```

---

Cu2PtCl: PBEsol geometry, meta-GGA SCAN.

* formation energy from raw total energies: 147 meV per atom
* ΔE to the lowest computed polymorph: 0 meV per atom

CIF file:
```
data_Cu2PtCl
_chemical_formula_sum 'Cu2 Pt1 Cl1'
_cell_length_a 3.020
_cell_length_b 3.020
_cell_length_c 6.269
_cell_angle_alpha 90.00
_cell_angle_beta 90.00
_cell_angle_gamma 90.00
_symmetry_space_group_name_H-M 'P 4 m m'
_symmetry_Int_Tables_number 99
loop_
_symmetry_equiv_pos_as_xyz
'x,y,z'
'-y,x,z'
'-x,-y,z'
'y,-x,z'
'-x,y,z'
'y,x,z'
'x,-y,z'
'-y,-x,z'
loop_
_atom_site_label
_atom_site_fract_x
_atom_site_fract_y
_atom_site_fract_z
Cu1 0.000 0.000 0.000
Cu2 0.500 0.500 0.207
Pt1 0.000 0.000 0.425
Cl1 0.500 0.500 0.778
```

---

CoNiIr2: PBEsol geometry, meta-GGA SCAN.

* calculated formation energy: 42 meV/atom
* ΔE to the lowest computed polymorph: 37 meV per atom

CIF file:
```
data_CoNiIr2
_chemical_formula_sum 'Co1 Ni1 Ir2'
_cell_length_a 2.631
_cell_length_b 3.540
_cell_length_c 5.257
_cell_angle_alpha 90.00
_cell_angle_beta 90.00
_cell_angle_gamma 90.00
_symmetry_space_group_name_H-M 'P m m m'
_symmetry_Int_Tables_number 47
loop_
_symmetry_equiv_pos_as_xyz
'x,y,z'
'-x,-y,-z'
'-x,-y,z'
'x,y,-z'
'x,-y,-z'
'-x,y,z'
'-x,y,-z'
'x,-y,z'
loop_
_atom_site_label
_atom_site_fract_x
_atom_site_fract_y
_atom_site_fract_z
Co1 0.000 0.000 0.000
Ni1 0.000 0.000 0.500
Ir1 0.500 0.500 0.249
```

---

ZrRe2NiCl: PBEsol geometry, meta-GGA SCAN.

* formation energy from raw total energies: 1044 meV per atom

CIF file:
```
data_ZrRe2NiCl
_chemical_formula_sum 'Zr1 Re2 Ni1 Cl1'
_cell_length_a 4.389
_cell_length_b 4.389
_cell_length_c 4.108
_cell_angle_alpha 90.00
_cell_angle_beta 90.00
_cell_angle_gamma 90.00
_symmetry_space_group_name_H-M 'P 4/m m m'
_symmetry_Int_Tables_number 123
_symmetry_space_group_name_Hall '-P 4 2'
loop_
_atom_site_label
_atom_site_fract_x
_atom_site_fract_y
_atom_site_fract_z
Zr1 0.000 0.000 0.000
Re1 0.000 0.500 0.500
Ni1 0.500 0.500 0.000
Cl1 0.500 0.500 0.500
```

---

Number 1: volume 85.5 Å³/cell, uncorrected energy -28.646 eV/atom, total magnetization 0.000 μB per cell. Number 2: volume 57.2 Å³/cell, uncorrected energy -26.996 eV/atom, total magnetization 0.000 μB per cell. Number 3: volume 49.0 Å³/cell, uncorrected energy -43.877 eV/atom, total magnetization 1.401 μB per cell. Number 4: volume 79.1 Å³/cell, uncorrected energy -38.365 eV/atom, total magnetization 0.002 μB per cell.